(1)
Y5Tm12Te3: relaxed, GGA-PBE.

Geometry as extended XYZ:
```
80
Lattice="-9.134 9.134 9.134 9.134 -9.134 9.134 9.134 9.134 -9.134" Properties=species:S:1:pos:R:3 pbc="T T T"
Y 0.000 0.000 0.000
Y 4.567 4.567 -4.567
Y 4.567 -4.567 4.567
Y 9.134 0.000 0.000
Y 13.700 2.283 0.000
Y 9.134 -4.567 6.850
Y 6.850 9.134 -4.567
Y 6.850 0.000 4.567
Y 4.567 6.850 0.000
Y 9.134 4.567 2.283
Y -4.567 4.567 4.567
Y 0.000 9.134 0.000
Y 0.000 0.000 9.134
Y 4.567 4.567 4.567
Y 0.000 4.567 6.850
Y 4.567 2.283 9.134
Y 2.283 9.134 4.567
Y 2.283 0.000 13.700
Y 0.000 13.700 2.283
Y -4.567 6.850 9.134
Tm 9.051 -1.526 2.692
Tm 13.783 -1.875 3.041
Tm 2.692 -0.083 1.526
Tm 11.009 6.093 -4.649
Tm 11.826 0.083 1.526
Tm 11.009 -3.041 4.649
Tm 1.526 2.692 -0.083
Tm 12.174 4.484 -1.875
Tm 6.093 4.649 -1.875
Tm 7.607 2.692 0.083
Tm -0.083 1.526 2.692
Tm 4.649 -1.875 6.093
Tm 9.051 7.607 -2.692
Tm 4.649 1.875 3.041
Tm 7.607 -2.692 9.051
Tm 6.093 -4.649 11.009
Tm 3.041 4.649 1.875
Tm 10.660 6.442 0.083
Tm 2.692 9.051 -1.526
Tm 11.009 3.041 4.484
Tm 1.875 3.041 4.649
Tm 2.692 0.083 7.607
Tm 4.649 11.009 -3.041
Tm 9.051 1.526 6.442
Tm 0.083 7.607 2.692
Tm 4.484 -1.875 12.174
Tm 6.442 9.051 1.526
Tm 7.259 6.093 4.484
Tm -1.875 6.093 4.649
Tm 6.442 0.083 10.660
Tm -1.526 2.692 9.051
Tm 6.093 4.484 7.259
Tm 3.041 13.783 -1.875
Tm 1.526 11.826 0.083
Tm 4.484 7.259 6.093
Tm 0.083 1.526 11.826
Tm 4.484 11.009 3.041
Tm 9.216 7.607 6.442
Tm 1.526 6.442 9.051
Tm 3.041 4.484 11.009
Tm -3.041 4.649 11.009
Tm 7.607 6.442 9.216
Tm -1.875 12.174 4.484
Tm -2.692 9.051 7.607
Tm -1.875 3.041 13.783
Tm 6.442 9.216 7.607
Tm -4.649 11.009 6.093
Tm 0.083 10.660 6.442
Te 4.567 2.283 0.000
Te 9.134 4.567 -2.283
Te 2.283 0.000 4.567
Te 11.417 0.000 4.567
Te 0.000 4.567 2.283
Te 4.567 -2.283 9.134
Te 4.567 11.417 0.000
Te 9.134 4.567 6.850
Te -2.283 9.134 4.567
Te 6.850 9.134 4.567
Te 0.000 4.567 11.417
Te 4.567 6.850 9.134
```

SG = Ia-3d, No. 230
Raw formation energy = 606.6 meV per atom
DOS at the Fermi energy = 107.86 states/eV/cell

=====

(2)
ZrHg3Rh: relaxed, GGA-PBE.

Geometry as extended XYZ:
```
5
Lattice="5.069 0.000 0.000 0.000 5.069 0.000 0.000 0.000 5.069" Properties=species:S:1:pos:R:3 pbc="T T T"
Zr 0.000 0.000 0.000
Hg 0.000 2.534 2.534
Hg 2.534 0.000 2.534
Hg 2.534 2.534 0.000
Rh 2.534 2.534 2.534
```

SG = Pm-3m, No. 221
Energy relative to the lowest polymorph listed for this composition = 0.000 eV/atom
ΔE_f = 0.658 eV/atom
DOS at the Fermi energy = 7.36 states/eV/cell

=====

Question: Which of these has the highest DOS at the Fermi energy?
Answer: Y5Tm12Te3

=====

Question: DOS at the Fermi energy of number 2 (ZrHg3Rh)?
Answer: 7.36 states/eV/cell

=====

Question: Which value of DOS at the Fermi energy does entry 1 give?
Answer: 107.86 states/eV/cell

=====

Question: Which of these has the lowest DOS at the Fermi energy?
Answer: ZrHg3Rh